No. 1
Entry from the Alexandria database: crystalline DyTcB14 at its relaxed geometry (PBE).

## Properties
- Energy relative to the elements: -0.1132 eV/atom

Cell: 5.884 10.786 8.221 Å, 90.00 90.00 90.00°
Space group Imma (No. 74)
Symmetry-distinct sites (fractional):
Dy  0.000  0.250  0.126
Tc  0.250  0.250  0.750
B  0.000  0.083  0.670
B  0.000  0.122  0.870
B  0.000  0.167  0.465
B  0.161  0.064  0.338
B  0.246  0.078  0.548

***

No. 2
Entry from the Alexandria database: crystalline Ho3ErRh8 at its relaxed geometry (PBE).

## Properties
- Energy relative to the elements: -0.7338 eV/atom

Cell: 5.3210 5.3210 8.6991 Å, 90.00 90.00 120.00°
Space group P3m1 (No. 156)
Symmetry-distinct sites (fractional):
Ho  0.0000  0.0000  0.0000
Ho  0.0000  0.0000  0.3671
Ho  0.3333  0.6667  0.8666
Er  0.3333  0.6667  0.4997
Rh  0.0050  0.5025  0.1836
Rh  0.3285  0.1642  0.6830
Rh  0.6667  0.3333  0.4334
Rh  0.6667  0.3333  0.9334

***

No. 3
Entry from the Alexandria database: crystalline NbB3Pt at its relaxed geometry (PBE).

## Properties
- Energy relative to the elements: 1.7426 eV/atom
- Polymorph energy (0 for the lowest one): 498.6 meV/atom

Cell: 4.198 4.198 4.198 Å, 90.00 90.00 90.00°
Space group Pm-3m (No. 221)
Symmetry-distinct sites (fractional):
Nb  0.000  0.000  0.000
B  0.000  0.000  0.500
Pt  0.500  0.500  0.500

***

The following Fermi-level density of states values (in states/eV per cell) correspond, in order, to the records above: 16.6; 7.1; 3.5.
The following V values (in A^3/atom) correspond, in order, to the records above: 8.15; 17.77; 14.79.